ErSc2Pb | PBE | relaxed

Cell lengths 4.4204, 4.4986, 10.8813 Å; angles 90.00, 101.70, 90.00 degrees
Last column: nearest neighbours and their distance in Å.
Space group P2_1/m (No. 11)
Asymmetric unit:
1 Er 0.1877 0.2500 0.3764 (multiplicity 2)  5 Pb 3.18-3.20, 2 Sc 3.52
2 Sc 0.0540 0.7500 0.1083 (multiplicity 2)  8 Sc 3.16-3.28, 2 Pb 3.20
3 Sc 0.4406 0.7500 0.8810 (multiplicity 2)  2 Pb 3.14, 8 Sc 3.16-3.39
4 Pb 0.3380 0.2500 0.6750 (multiplicity 2)  4 Sc 3.14-3.20, 5 Er 3.18-3.20

Summary:
Spin magnetization ... 0.02 μB per cell
ΔE_f ... -0.3214 eV/atom
Polymorph energy (0 for the lowest one) ... 0 meV per atom
D(E_F) ... 8.81 states/eV/cell
Energy ... -5.555 eV per atom
Crystal system ... monoclinic